(1)
# CaSi2Se

A geometry-optimized CaSi2Se structure (GGA-PBE, Alexandria via LeMat-Bulk).

Output
Formation energy from raw total energies   -616.2 meV/atom
Symmetry   Cmc2_1 (36)
DFT total energy   -4.6993 eV per atom

Cell lengths 3.9223, 21.9679, 4.2443 Å; angles 90.00, 90.00, 90.00 degrees
Sites, in units of the cell vectors:
1 Ca 0.0000 0.1664 0.0000
2 Ca 0.0000 0.8336 0.5000
3 Ca 0.5000 0.3336 0.5000
4 Ca 0.5000 0.6664 0.0000
5 Si 0.0000 0.0282 0.4844
6 Si 0.0000 0.4202 0.1698
7 Si 0.0000 0.5798 0.6698
8 Si 0.0000 0.9718 0.9844
9 Si 0.5000 0.0798 0.6698
10 Si 0.5000 0.4718 0.9844
11 Si 0.5000 0.5282 0.4844
12 Si 0.5000 0.9202 0.1698
13 Se 0.0000 0.3111 0.9847
14 Se 0.0000 0.6889 0.4847
15 Se 0.5000 0.1889 0.4847
16 Se 0.5000 0.8111 0.9847

=====

(2)
# LiPm2AgSe4

A geometry-optimized LiPm2AgSe4 structure (GGA-PBE, Alexandria via LeMat-Bulk).

Output
Formation energy from raw total energies   -1414.4 meV/atom
Symmetry   P2/m (10)
DFT total energy   -4.9400 eV per atom

Cell lengths 6.9398, 4.2304, 7.3251 Å; angles 90.00, 110.85, 90.00 degrees
Sites, in units of the cell vectors:
1 Li 0.0000 0.0000 0.0000
2 Pm 0.5000 0.0000 0.5000
3 Pm 0.5000 0.5000 0.0000
4 Ag 0.0000 0.5000 0.5000
5 Se 0.2446 0.0000 0.7507
6 Se 0.2456 0.5000 0.2443
7 Se 0.7544 0.5000 0.7557
8 Se 0.7554 0.0000 0.2493

=====

(3)
# RbNaGe2

A geometry-optimized RbNaGe2 structure (GGA-PBE, Alexandria via LeMat-Bulk).

Output
Formation energy   0.133 eV per atom
Symmetry   I-42d (122)
DFT total energy   -2.7476 eV per atom

Cell lengths 5.0984, 5.0984, 21.1494 Å; angles 90.00, 90.00, 90.00 degrees
Sites, in units of the cell vectors:
1 Rb 0.0000 0.0000 0.0000
2 Rb 0.0000 0.5000 0.2500
3 Rb 0.5000 0.0000 0.7500
4 Rb 0.5000 0.5000 0.5000
5 Na 0.0000 0.0000 0.5000
6 Na 0.0000 0.5000 0.7500
7 Na 0.5000 0.0000 0.2500
8 Na 0.5000 0.5000 0.0000
9 Ge 0.0220 0.2500 0.6250
10 Ge 0.2500 0.5220 0.8750
11 Ge 0.2500 0.9780 0.3750
12 Ge 0.4780 0.2500 0.1250
13 Ge 0.5220 0.7500 0.1250
14 Ge 0.7500 0.0220 0.3750
15 Ge 0.7500 0.4780 0.8750
16 Ge 0.9780 0.7500 0.6250